Material: Mn5Cd3F12
Method: DFT, GGA+U
State: relaxed

## Properties
Its space group is Ia-3d, No. 230. As for the calculated total energy: -418.96 eV/cell. The calculation puts the total moment at 1.23 μB/atom.

Unit cell a=12.1096 b=12.1096 c=12.1096 alpha=109.47 beta=109.47 gamma=109.47
With the nearest neighbours (Å) after each atom.
Element x y z (fractional)
Cd 0.7500 0.3750 0.1250  8 F 2.80-2.92
Cd 0.8750 0.7500 0.1250  8 F 2.80-2.92
Cd 0.3750 0.7500 0.6250  8 F 2.80-2.92
Cd 0.2500 0.1250 0.3750  8 F 2.80-2.92
Cd 0.8750 0.1250 0.2500  8 F 2.80-2.92
Cd 0.3750 0.6250 0.2500  8 F 2.80-2.92
Cd 0.6250 0.3750 0.7500  8 F 2.80-2.92
Cd 0.1250 0.8750 0.7500  8 F 2.80-2.92
Cd 0.7500 0.8750 0.6250  8 F 2.80-2.92
Cd 0.6250 0.2500 0.3750  8 F 2.80-2.92
Cd 0.1250 0.2500 0.8750  8 F 2.80-2.92
Cd 0.2500 0.6250 0.8750  8 F 2.80-2.92
Mn 0.1250 0.3750 0.2500  4 F 2.04
Mn 0.0000 0.5000 0.0000  6 F 2.16
Mn 0.0000 0.0000 0.0000  6 F 2.16
Mn 0.3750 0.2500 0.1250  4 F 2.04
Mn 0.5000 0.0000 0.5000  6 F 2.16
Mn 0.5000 0.5000 0.0000  6 F 2.16
Mn 0.1250 0.7500 0.3750  4 F 2.04
Mn 0.7500 0.1250 0.8750  4 F 2.04
Mn 0.7500 0.6250 0.3750  4 F 2.04
Mn 0.3750 0.1250 0.7500  4 F 2.04
Mn 0.6250 0.8750 0.2500  4 F 2.04
Mn 0.5000 0.5000 0.5000  6 F 2.16
Mn 0.5000 0.0000 0.0000  6 F 2.16
Mn 0.0000 0.0000 0.5000  6 F 2.16
Mn 0.2500 0.3750 0.6250  4 F 2.04
Mn 0.2500 0.8750 0.1250  4 F 2.04
Mn 0.0000 0.5000 0.5000  6 F 2.16
Mn 0.8750 0.2500 0.6250  4 F 2.04
Mn 0.6250 0.7500 0.8750  4 F 2.04
Mn 0.8750 0.6250 0.7500  4 F 2.04
F 0.6880 0.1049 0.0078  2 Mn 2.04-2.16
F 0.3198 0.5078 0.4029  2 Mn 2.04-2.16
F 0.9922 0.3951 0.3120  2 Mn 2.04-2.16
F 0.5078 0.1880 0.1049  2 Mn 2.04-2.16
F 0.5831 0.6880 0.6802  2 Mn 2.04-2.16
F 0.9922 0.5971 0.1802  2 Mn 2.04-2.16
F 0.3198 0.8120 0.4169  2 Mn 2.04-2.16
F 0.0971 0.9169 0.1049  2 Mn 2.04-2.16
F 0.5971 0.9922 0.6802  2 Mn 2.04-2.16
F 0.6880 0.5831 0.1802  2 Mn 2.04-2.16
F 0.8120 0.4922 0.3951  2 Mn 2.04-2.16
F 0.8198 0.9029 0.0078  2 Mn 2.04-2.16
F 0.1049 0.6880 0.5078  2 Mn 2.04-2.16
F 0.3951 0.4029 0.0831  2 Mn 2.04-2.16
F 0.0831 0.9029 0.3951  2 Mn 2.04-2.16
F 0.4169 0.1049 0.5971  2 Mn 2.04-2.16
F 0.0831 0.1802 0.1880  2 Mn 2.04-2.16
F 0.4922 0.6802 0.0971  2 Mn 2.04-2.16
F 0.8198 0.9169 0.3120  2 Mn 2.04-2.16
F 0.1049 0.4169 0.0971  2 Mn 2.04-2.16
F 0.3951 0.9922 0.8120  2 Mn 2.04-2.16
F 0.5971 0.6049 0.4169  2 Mn 2.04-2.16
F 0.9029 0.8198 0.5078  2 Mn 2.04-2.16
F 0.8120 0.3198 0.9169  2 Mn 2.04-2.16
F 0.4029 0.3951 0.5831  2 Mn 2.04-2.16
F 0.0971 0.1802 0.4922  2 Mn 2.04-2.16
F 0.1880 0.6802 0.0831  2 Mn 2.04-2.16
F 0.1802 0.0831 0.6880  2 Mn 2.04-2.16
F 0.6049 0.0078 0.1880  2 Mn 2.04-2.16
F 0.8951 0.5831 0.9029  2 Mn 2.04-2.16
F 0.5078 0.3198 0.9029  2 Mn 2.04-2.16
F 0.5831 0.8951 0.4029  2 Mn 2.04-2.16
F 0.9169 0.8198 0.8120  2 Mn 2.04-2.16
F 0.9169 0.0971 0.6049  2 Mn 2.04-2.16
F 0.8951 0.3120 0.4922  2 Mn 2.04-2.16
F 0.1802 0.0971 0.9922  2 Mn 2.04-2.16
F 0.6049 0.5971 0.9169  2 Mn 2.04-2.16
F 0.4029 0.0078 0.3198  2 Mn 2.04-2.16
F 0.3120 0.4169 0.8198  2 Mn 2.04-2.16
F 0.1880 0.5078 0.6049  2 Mn 2.04-2.16
F 0.9029 0.0831 0.8951  2 Mn 2.04-2.16
F 0.6802 0.1880 0.5831  2 Mn 2.04-2.16
F 0.4922 0.8120 0.8951  2 Mn 2.04-2.16
F 0.0078 0.4029 0.8198  2 Mn 2.04-2.16
F 0.4169 0.3120 0.3198  2 Mn 2.04-2.16
F 0.0078 0.6049 0.6880  2 Mn 2.04-2.16
F 0.6802 0.4922 0.5971  2 Mn 2.04-2.16
F 0.3120 0.8951 0.9922  2 Mn 2.04-2.16